No. 1
! GGA-PBE CeSc4As5, optimized geometry; values from VASP
&SYSTEM
  ibrav = 0, nat = 10, ntyp = 3
/
ATOMIC_SPECIES
Sc 44.96 Sc.upf
As 74.92 As.upf
Ce 140.12 Ce.upf
ATOMIC_POSITIONS crystal
Sc 0.603 0.603 0.206
As 0.801 0.301 0.601
As 0.393 0.893 0.786
As 0.607 0.107 0.214
Sc 0.795 0.795 0.591
Sc 0.397 0.397 0.794
Sc 0.205 0.205 0.409
As 0.199 0.699 0.399
Ce 0.000 0.000 0.000
As 0.000 0.500 0.000
CELL_PARAMETERS angstrom
-2.149 -0.350 3.298
-4.316 -1.949 -3.019
6.555 -8.050 1.050
! Total DFT energy (no corrections) ... -6.812 eV per atom
! ΔE_f ... -1361.2 meV/atom

No. 2
! GGA-PBE KMg2Mn, optimized geometry; values from VASP
&SYSTEM
  ibrav = 0, nat = 4, ntyp = 3
/
ATOMIC_SPECIES
Mn 54.94 Mn.upf
Mg 24.30 Mg.upf
K 39.10 K.upf
ATOMIC_POSITIONS crystal
Mn 0.500 0.250 0.250
Mg 0.000 0.581 0.418
Mg 0.000 0.919 0.082
K 0.500 0.750 0.750
CELL_PARAMETERS angstrom
3.419 0.000 0.000
0.000 3.428 0.033
0.000 3.371 9.178
! Excess energy over the best structure of this formula in the dataset ... 0.0000 eV per atom
! Total DFT energy (no corrections) ... -3.013 eV per atom
! ΔE_f ... 350.9 meV/atom

No. 3
! GGA-PBE Ac4CdPd3, optimized geometry; values from VASP
&SYSTEM
  ibrav = 0, nat = 8, ntyp = 3
/
ATOMIC_SPECIES
Ac 227.00 Ac.upf
Pd 106.42 Pd.upf
Cd 112.41 Cd.upf
ATOMIC_POSITIONS crystal
Ac 0.500 0.500 0.376
Ac 0.500 0.000 0.633
Pd 0.500 0.000 0.915
Pd 0.000 0.000 0.420
Pd 0.000 0.500 0.586
Ac 0.000 0.000 0.147
Ac 0.000 0.500 0.851
Cd 0.500 0.500 0.072
CELL_PARAMETERS angstrom
4.189 0.000 0.000
0.000 4.831 0.000
0.000 0.000 11.884
! Total DFT energy (no corrections) ... -4.762 eV per atom
! ΔE_f ... -646.3 meV/atom

No. 4
! GGA-PBE ZnSn2Hg, optimized geometry; values from VASP
&SYSTEM
  ibrav = 0, nat = 4, ntyp = 3
/
ATOMIC_SPECIES
Sn 118.71 Sn.upf
Hg 200.59 Hg.upf
Zn 65.41 Zn.upf
ATOMIC_POSITIONS crystal
Sn 0.068 0.068 0.796
Hg 0.498 0.498 0.506
Zn 0.667 0.667 0.999
Sn 0.267 0.267 0.200
CELL_PARAMETERS angstrom
-3.748 -1.146 -2.260
-1.774 -4.131 0.509
-5.103 0.188 3.839
! Excess energy over the best structure of this formula in the dataset ... 0.0044 eV per atom
! Total DFT energy (no corrections) ... -2.298 eV per atom
! ΔE_f ... 97.4 meV/atom

No. 5
! GGA-PBE Ac5HoTl4, optimized geometry; values from VASP
&SYSTEM
  ibrav = 0, nat = 10, ntyp = 3
/
ATOMIC_SPECIES
Tl 204.38 Tl.upf
Ac 227.00 Ac.upf
Ho 164.93 Ho.upf
ATOMIC_POSITIONS crystal
Tl 0.000 0.000 0.205
Ac 0.500 0.500 0.303
Ac 0.500 0.500 0.500
Tl 0.000 0.000 0.599
Tl 0.000 0.000 0.401
Ac 0.500 0.500 0.109
Ho 0.000 0.000 0.000
Ac 0.500 0.500 0.697
Tl 0.000 0.000 0.795
Ac 0.500 0.500 0.891
CELL_PARAMETERS angstrom
3.957 0.000 0.000
0.000 3.957 0.000
0.000 0.000 23.010
! Total DFT energy (no corrections) ... -3.713 eV per atom
! ΔE_f ... -254.3 meV/atom

No. 6
! GGA-PBE Ti2CoCuGe, optimized geometry; values from VASP
&SYSTEM
  ibrav = 0, nat = 5, ntyp = 4
/
ATOMIC_SPECIES
Ti 47.87 Ti.upf
Co 58.93 Co.upf
Cu 63.55 Cu.upf
Ge 72.64 Ge.upf
ATOMIC_POSITIONS crystal
Ti 0.500 0.000 0.000
Co 0.000 0.000 0.000
Cu 0.000 0.000 0.500
Ti 0.000 0.500 0.000
Ge 0.500 0.500 0.500
CELL_PARAMETERS angstrom
-1.069 -0.960 4.120
-3.279 -2.497 -1.433
2.720 -3.507 -0.112
! Excess energy over the best structure of this formula in the dataset ... 0.0000 eV per atom
! Total DFT energy (no corrections) ... -6.038 eV per atom
! ΔE_f ... 284.3 meV/atom

No. 7
! GGA-PBE CeAlGeRu, optimized geometry; values from VASP
&SYSTEM
  ibrav = 0, nat = 4, ntyp = 4
/
ATOMIC_SPECIES
Al 26.98 Al.upf
Ge 72.64 Ge.upf
Ce 140.12 Ce.upf
Ru 101.07 Ru.upf
ATOMIC_POSITIONS crystal
Al 0.595 0.595 0.214
Ge 0.020 0.020 0.940
Ce 0.804 0.804 0.587
Ru 0.306 0.306 0.081
CELL_PARAMETERS angstrom
4.240 0.000 0.000
2.120 3.672 0.000
2.120 1.224 5.083
! Total DFT energy (no corrections) ... -6.411 eV per atom
! ΔE_f ... -518.3 meV/atom

No. 8
! GGA-PBE Cd2TeBr2, optimized geometry; values from VASP
&SYSTEM
  ibrav = 0, nat = 10, ntyp = 3
/
ATOMIC_SPECIES
Cd 112.41 Cd.upf
Br 79.90 Br.upf
Te 127.60 Te.upf
ATOMIC_POSITIONS crystal
Cd 0.261 0.239 0.000
Br 0.644 0.856 0.500
Cd 0.239 0.739 0.000
Cd 0.739 0.761 0.000
Br 0.144 0.644 0.500
Br 0.356 0.144 0.500
Te 0.500 0.500 0.000
Br 0.856 0.356 0.500
Te 0.000 0.000 0.000
Cd 0.761 0.261 0.000
CELL_PARAMETERS angstrom
-5.140 -5.822 3.212
5.166 -0.942 6.562
-2.451 3.507 2.434
! Total DFT energy (no corrections) ... -1.961 eV per atom
! Raw formation energy ... -298 meV/atom

Spin magnetization (μB/f.u.)
0.4; 3.5; 0.0; 0.0; 0.0; 0.0; 0.3; 0.0